No. 1
## DyLuZnCu (PBE)

Data for a relaxed structure of DyLuZnCu.

Output
- Size of the total moment: 0.00 μB per cell
- Density: 9.195 g/cm3
- E: -3.926 eV/atom
- DOS at the Fermi energy: 12.0 states/eV per cell

Cell: 6.9585 6.9585 6.9585 Å, 90.00 90.00 90.00°
Closest atoms and distances in Å follow each position.
Fractional positions:
Dy 0.0000 0.0000 0.0000  4 Zn 3.01, 4 Cu 3.01
Dy 0.0000 0.5000 0.5000  4 Zn 3.01, 4 Cu 3.01
Dy 0.5000 0.0000 0.5000  4 Zn 3.01, 4 Cu 3.01
Dy 0.5000 0.5000 0.0000  4 Zn 3.01, 4 Cu 3.01
Lu 0.0000 0.0000 0.5000  4 Cu 3.01, 4 Zn 3.01
Lu 0.0000 0.5000 0.0000  4 Cu 3.01, 4 Zn 3.01
Lu 0.5000 0.0000 0.0000  4 Cu 3.01, 4 Zn 3.01
Lu 0.5000 0.5000 0.5000  4 Cu 3.01, 4 Zn 3.01
Zn 0.2500 0.2500 0.2500  4 Lu 3.01, 4 Dy 3.01
Zn 0.2500 0.7500 0.7500  4 Lu 3.01, 4 Dy 3.01
Zn 0.7500 0.2500 0.7500  4 Lu 3.01, 4 Dy 3.01
Zn 0.7500 0.7500 0.2500  4 Lu 3.01, 4 Dy 3.01
Cu 0.2500 0.2500 0.7500  4 Dy 3.01, 4 Lu 3.01
Cu 0.2500 0.7500 0.2500  4 Dy 3.01, 4 Lu 3.01
Cu 0.7500 0.2500 0.2500  4 Dy 3.01, 4 Lu 3.01
Cu 0.7500 0.7500 0.7500  4 Dy 3.01, 4 Lu 3.01

=====

No. 2
## NdTl2Te2Pd7 (PBE)

Data for a relaxed structure of NdTl2Te2Pd7.

Output
- Size of the total moment: 0.00 μB per cell
- Density: 9.725 g/cm3
- E: -4.737 eV/atom
- DOS at the Fermi energy: 7.1 states/eV per cell
- Uncorrected formation energy: -38 kJ per mole of atoms

Cell: 4.1528 4.1528 15.4526 Å, 93.98 93.98 89.97°
Closest atoms and distances in Å follow each position.
Fractional positions:
Nd 0.0000 0.0000 0.0000  12 Pd 2.94-2.98
Tl 0.1087 0.1087 0.4098  5 Pd 2.85-3.03, 1 Tl 3.18
Tl 0.8913 0.8913 0.5902  5 Pd 2.85-3.03, 1 Tl 3.18
Te 0.4347 0.4347 0.7534  5 Pd 2.65
Te 0.5653 0.5653 0.2466  5 Pd 2.65
Pd 0.0376 0.5368 0.1391  2 Te 2.65, 4 Pd 2.93-2.94
Pd 0.4037 0.4037 0.5809  1 Te 2.65, 1 Pd 2.84, 3 Tl 2.85-2.94
Pd 0.4632 0.9624 0.8609  2 Te 2.65, 4 Pd 2.93-2.94
Pd 0.5000 0.5000 0.0000  4 Nd 2.94, 8 Pd 2.98-2.99
Pd 0.5368 0.0376 0.1391  2 Te 2.65, 4 Pd 2.93-2.94
Pd 0.5963 0.5963 0.4191  1 Te 2.65, 1 Pd 2.84, 3 Tl 2.85-2.94
Pd 0.9624 0.4632 0.8609  2 Te 2.65, 4 Pd 2.93-2.94

=====

What is the formula in the second record?
NdTl2Te2Pd7